Below is a geometry-optimized Pb2CO3F2 structure, with properties calculated at the GGA-PBEsol level.

**E_tot**: -6.410 eV per atom
**Crystal system**: orthorhombic
**DOS(E_F)**: 0.000 states/eV per atom

Cell: 8.046 8.278 6.778 Å, 90.00 90.00 90.00°
Fractional coordinates of all 32 atoms:
Pb 0.183 0.160 0.049
Pb 0.183 0.840 0.549
Pb 0.317 0.340 0.549
Pb 0.317 0.660 0.049
Pb 0.683 0.340 0.951
Pb 0.683 0.660 0.451
Pb 0.817 0.160 0.451
Pb 0.817 0.840 0.951
C 0.000 0.480 0.750
C 0.000 0.520 0.250
C 0.500 0.020 0.250
C 0.500 0.980 0.750
O 0.000 0.324 0.750
O 0.000 0.676 0.250
O 0.132 0.442 0.194
O 0.132 0.558 0.694
O 0.368 0.058 0.694
O 0.368 0.942 0.194
O 0.500 0.176 0.250
O 0.500 0.824 0.750
O 0.632 0.058 0.806
O 0.632 0.942 0.306
O 0.868 0.442 0.306
O 0.868 0.558 0.806
F 0.114 0.114 0.400
F 0.114 0.886 0.900
F 0.386 0.386 0.900
F 0.386 0.614 0.400
F 0.614 0.386 0.600
F 0.614 0.614 0.100
F 0.886 0.114 0.100
F 0.886 0.886 0.600

Below is a geometry-optimized ZrP2OsO structure, with properties calculated at the GGA-PBEsol level.

**E_tot**: -7.839 eV per atom
**Crystal system**: tetragonal
**DOS(E_F)**: 0.832 states/eV per atom

Cell: 4.758 4.758 3.626 Å, 90.00 90.00 90.00°
Fractional coordinates of all 5 atoms:
Zr 0.000 0.000 0.000
P 0.000 0.500 0.500
P 0.500 0.000 0.500
Os 0.500 0.500 0.500
O 0.500 0.500 0.000

Below is a geometry-optimized AlGe2PBr structure, with properties calculated at the GGA-PBEsol level.

**E_tot**: -3.679 eV per atom
**Crystal system**: tetragonal
**DOS(E_F)**: 0.744 states/eV per atom

Cell: 4.802 4.802 5.015 Å, 90.00 90.00 90.00°
Fractional coordinates of all 5 atoms:
Al 0.000 0.000 0.000
Ge 0.000 0.500 0.500
Ge 0.500 0.000 0.500
P 0.500 0.500 0.500
Br 0.500 0.500 0.000